## YCrI2O (PBE+U)

Data for YCrI2O after structural relaxation.

a = 5.825 Å, b = 5.825 Å, c = 3.778 Å
α = 90.00°, β = 90.00°, γ = 90.00°
Atoms (fractional coordinates):
Y1 0.000 0.000 0.000
Cr1 0.500 0.500 0.500
I1 0.000 0.500 0.500
I2 0.500 0.000 0.500
O1 0.500 0.500 0.000

## ZnCrI2O (PBE+U)

Data for ZnCrI2O after structural relaxation.

a = 5.756 Å, b = 5.756 Å, c = 3.716 Å
α = 90.00°, β = 90.00°, γ = 90.00°
Atoms (fractional coordinates):
Zn1 0.000 0.000 0.000
Cr1 0.500 0.500 0.500
I1 0.000 0.500 0.500
I2 0.500 0.000 0.500
O1 0.500 0.500 0.000

## ZnCrI2O (PBE+U)

Data for ZnCrI2O after structural relaxation.

a = 5.911 Å, b = 5.911 Å, c = 3.640 Å
α = 90.00°, β = 90.00°, γ = 90.00°
Atoms (fractional coordinates):
Zn1 0.000 0.000 0.000
Cr1 0.500 0.500 0.500
I1 0.000 0.500 0.000
I2 0.500 0.000 0.000
O1 0.000 0.000 0.500

## ZrCrI2O (PBE+U)

Data for ZrCrI2O after structural relaxation.

a = 5.776 Å, b = 5.776 Å, c = 3.664 Å
α = 90.00°, β = 90.00°, γ = 90.00°
Atoms (fractional coordinates):
Zr1 0.000 0.000 0.000
Cr1 0.500 0.500 0.500
I1 0.000 0.500 0.500
I2 0.500 0.000 0.500
O1 0.500 0.500 0.000

## ZrCrI2O (PBE+U)

Data for ZrCrI2O after structural relaxation.

a = 5.938 Å, b = 5.938 Å, c = 4.033 Å
α = 90.00°, β = 90.00°, γ = 90.00°
Atoms (fractional coordinates):
Zr1 0.000 0.000 0.000
Cr1 0.500 0.500 0.500
I1 0.000 0.500 0.000
I2 0.500 0.000 0.000
O1 0.000 0.000 0.500

| no. | M_tot (μB per atom) | energy relative to the lowest polymorph listed for this composition (meV per atom) |
| --- | --- | --- |
| 1 | 0.758 | 370.1 |
| 2 | 0.602 | 0.0 |
| 3 | 0.930 | 233.6 |
| 4 | 1.038 | 576.7 |
| 5 | 1.187 | 0.0 |